Computed, not measured: HgTe2Pd8 after structural relaxation at the PBE level of DFT.

Calculated values
**Energy above the most stable polymorph in this dataset**: 22 kJ/mol of formula units

The structure in CIF format:
```
data_HgTe2Pd8
_symmetry_space_group_name_H-M 'P 1'
_symmetry_Int_Tables_number 1
_cell_length_a 4.7433
_cell_length_b 6.2671
_cell_length_c 7.5734
_cell_angle_alpha 112.64
_cell_angle_beta 105.94
_cell_angle_gamma 95.11
loop_
_symmetry_equiv_pos_as_xyz
'x,y,z'
loop_
_atom_site_label
_atom_site_type_symbol
_atom_site_fract_x
_atom_site_fract_y
_atom_site_fract_z
Hg1 Hg 0.0000 0.0000 0.0000
Te1 Te 0.3692 0.2965 0.6818
Te2 Te 0.6872 0.6151 0.3182
Pd1 Pd 0.1845 0.8908 0.3374
Pd2 Pd 0.2181 0.4471 0.3949
Pd3 Pd 0.3840 0.9050 0.7505
Pd4 Pd 0.3933 0.6762 0.9998
Pd5 Pd 0.6330 0.1547 0.2489
Pd6 Pd 0.8235 0.0528 0.6047
Pd7 Pd 0.8461 0.5545 0.6628
Pd8 Pd 0.8800 0.4254 0.0000
```

Computed, not measured: HgTePd after structural relaxation at the PBE level of DFT.

Calculated values
**Energy above the most stable polymorph in this dataset**: 34 kJ/mol of formula units

The structure in CIF format:
```
data_HgTePd
_symmetry_space_group_name_H-M 'P 3 m 1'
_symmetry_Int_Tables_number 156
_cell_length_a 3.9762
_cell_length_b 3.9762
_cell_length_c 5.3531
_cell_angle_alpha 90.00
_cell_angle_beta 90.00
_cell_angle_gamma 120.00
loop_
_symmetry_equiv_pos_as_xyz
'x,y,z'
'-y,x-y,z'
'-x+y,-x,z'
'-y,-x,z'
'-x+y,y,z'
'x,x-y,z'
loop_
_atom_site_label
_atom_site_type_symbol
_atom_site_fract_x
_atom_site_fract_y
_atom_site_fract_z
Hg1 Hg 0.0000 0.0000 0.0000
Te1 Te 0.3333 0.6667 0.5763
Pd1 Pd 0.6667 0.3333 0.3227
```

Computed, not measured: HgTePd4 after structural relaxation at the PBE level of DFT.

Calculated values
**Energy above the most stable polymorph in this dataset**: 252 kJ/mol of formula units

The structure in CIF format:
```
data_HgTePd4
_symmetry_space_group_name_H-M 'I 41 m d'
_symmetry_Int_Tables_number 109
_symmetry_space_group_name_Hall 'I 4bw -2'
_cell_length_a 7.9686
_cell_length_b 7.9686
_cell_length_c 9.0341
_cell_angle_alpha 90.00
_cell_angle_beta 90.00
_cell_angle_gamma 90.00
loop_
_atom_site_label
_atom_site_type_symbol
_atom_site_fract_x
_atom_site_fract_y
_atom_site_fract_z
Hg1 Hg 0.0000 0.0000 0.0000
Te1 Te 0.0000 0.0000 0.5053
Pd1 Pd 0.0000 0.1703 0.2655
Pd2 Pd 0.0000 0.1795 0.7400
```

Computed, not measured: HgTe2Pd2 after structural relaxation at the PBE level of DFT.

Calculated values
**Energy above the most stable polymorph in this dataset**: 105 kJ/mol of formula units

The structure in CIF format:
```
data_HgTe2Pd2
_symmetry_space_group_name_H-M 'P 4/m b m'
_symmetry_Int_Tables_number 127
_symmetry_space_group_name_Hall '-P 4 2ab'
_cell_length_a 8.4293
_cell_length_b 8.4293
_cell_length_c 3.1583
_cell_angle_alpha 90.00
_cell_angle_beta 90.00
_cell_angle_gamma 90.00
loop_
_atom_site_label
_atom_site_type_symbol
_atom_site_fract_x
_atom_site_fract_y
_atom_site_fract_z
Hg1 Hg 0.0000 0.0000 0.0000
Te1 Te 0.1632 0.3368 0.0000
Pd1 Pd 0.1228 0.6228 0.5000
```

Computed, not measured: HgTe5Pd3 after structural relaxation at the PBE level of DFT.

The structure in CIF format:
```
data_HgTe5Pd3
_symmetry_space_group_name_H-M 'C 1 2/m 1'
_symmetry_Int_Tables_number 12
_cell_length_a 10.7304
_cell_length_b 8.7624
_cell_length_c 10.9304
_cell_angle_alpha 90.00
_cell_angle_beta 109.05
_cell_angle_gamma 90.00
loop_
_symmetry_equiv_pos_as_xyz
'x,y,z'
'-x,-y,-z'
'-x,y,-z'
'x,-y,z'
'x+1/2,y+1/2,z'
'-x+1/2,-y+1/2,-z'
'-x+1/2,y+1/2,-z'
'x+1/2,-y+1/2,z'
loop_
_atom_site_label
_atom_site_type_symbol
_atom_site_fract_x
_atom_site_fract_y
_atom_site_fract_z
Hg1 Hg 0.0693 0.0000 0.2722
Te1 Te 0.0000 0.3028 0.0000
Te2 Te 0.1053 0.5000 0.4042
Te3 Te 0.1608 0.1941 0.6674
Te4 Te 0.2342 0.5000 0.9378
Pd1 Pd 0.0000 0.0000 0.0000
Pd2 Pd 0.0000 0.0000 0.5000
Pd3 Pd 0.1602 0.5000 0.6721
Pd4 Pd 0.1656 0.5000 0.1683
```

Computed, not measured: HgTe3Pd after structural relaxation at the PBE level of DFT.

Calculated values
**Energy above the most stable polymorph in this dataset**: 0 kJ/mol of formula units

The structure in CIF format:
```
data_HgTe3Pd
_symmetry_space_group_name_H-M 'P 1 21/m 1'
_symmetry_Int_Tables_number 11
_cell_length_a 6.6754
_cell_length_b 5.7086
_cell_length_c 7.4902
_cell_angle_alpha 90.00
_cell_angle_beta 103.00
_cell_angle_gamma 90.00
loop_
_symmetry_equiv_pos_as_xyz
'x,y,z'
'-x,-y,-z'
'-x,y+1/2,-z'
'x,-y+1/2,z'
loop_
_atom_site_label
_atom_site_type_symbol
_atom_site_fract_x
_atom_site_fract_y
_atom_site_fract_z
Hg1 Hg 0.2442 0.2500 0.0543
Te1 Te 0.1362 0.7500 0.2333
Te2 Te 0.3057 0.7500 0.7620
Te3 Te 0.3655 0.2500 0.6358
Pd1 Pd 0.0000 0.0000 0.5000
```

Computed, not measured: HgTe2Pd2 after structural relaxation at the PBE level of DFT.

Calculated values
**Energy above the most stable polymorph in this dataset**: 43 kJ/mol of formula units

The structure in CIF format:
```
data_HgTe2Pd2
_symmetry_space_group_name_H-M 'I 4/m m m'
_symmetry_Int_Tables_number 139
_symmetry_space_group_name_Hall '-I 4 2'
_cell_length_a 4.2528
_cell_length_b 4.2528
_cell_length_c 14.0500
_cell_angle_alpha 90.00
_cell_angle_beta 90.00
_cell_angle_gamma 90.00
loop_
_atom_site_label
_atom_site_type_symbol
_atom_site_fract_x
_atom_site_fract_y
_atom_site_fract_z
Hg1 Hg 0.0000 0.0000 0.0000
Te1 Te 0.0000 0.0000 0.3663
Pd1 Pd 0.0000 0.5000 0.2500
```

Computed, not measured: HgTe2Pd after structural relaxation at the PBE level of DFT.

Calculated values
**Energy above the most stable polymorph in this dataset**: 0 kJ/mol of formula units

The structure in CIF format:
```
data_HgTe2Pd
_symmetry_space_group_name_H-M 'R 3 m'
_symmetry_Int_Tables_number 160
_symmetry_space_group_name_Hall 'R 3 -2"'
_cell_length_a 4.0625
_cell_length_b 4.0625
_cell_length_c 23.0591
_cell_angle_alpha 90.00
_cell_angle_beta 90.00
_cell_angle_gamma 120.00
loop_
_atom_site_label
_atom_site_type_symbol
_atom_site_fract_x
_atom_site_fract_y
_atom_site_fract_z
Hg1 Hg 0.0000 0.0000 0.0000
Te1 Te 0.0000 0.0000 0.2264
Te2 Te 0.0000 0.0000 0.4386
Pd1 Pd 0.0000 0.0000 0.8319
```

Computed, not measured: Hg2TePd after structural relaxation at the PBE level of DFT.

Calculated values
**Energy above the most stable polymorph in this dataset**: 30 kJ/mol of formula units

The structure in CIF format:
```
data_Hg2TePd
_symmetry_space_group_name_H-M 'R -3 m'
_symmetry_Int_Tables_number 166
_symmetry_space_group_name_Hall '-R 3 2"'
_cell_length_a 3.1850
_cell_length_b 3.1850
_cell_length_c 34.1635
_cell_angle_alpha 90.00
_cell_angle_beta 90.00
_cell_angle_gamma 120.00
loop_
_atom_site_label
_atom_site_type_symbol
_atom_site_fract_x
_atom_site_fract_y
_atom_site_fract_z
Hg1 Hg 0.0000 0.0000 0.0781
Te1 Te 0.0000 0.0000 0.5000
Pd1 Pd 0.0000 0.0000 0.0000
```

Computed, not measured: HgTe3Pd2 after structural relaxation at the PBE level of DFT.

Calculated values
**Energy above the most stable polymorph in this dataset**: 17 kJ/mol of formula units

The structure in CIF format:
```
data_HgTe3Pd2
_symmetry_space_group_name_H-M 'C 1 2/m 1'
_symmetry_Int_Tables_number 12
_cell_length_a 14.0027
_cell_length_b 8.1936
_cell_length_c 6.5095
_cell_angle_alpha 90.00
_cell_angle_beta 114.39
_cell_angle_gamma 90.00
loop_
_symmetry_equiv_pos_as_xyz
'x,y,z'
'-x,-y,-z'
'-x,y,-z'
'x,-y,z'
'x+1/2,y+1/2,z'
'-x+1/2,-y+1/2,-z'
'-x+1/2,y+1/2,-z'
'x+1/2,-y+1/2,z'
loop_
_atom_site_label
_atom_site_type_symbol
_atom_site_fract_x
_atom_site_fract_y
_atom_site_fract_z
Hg1 Hg 0.2238 0.0000 0.2863
Te1 Te 0.0405 0.2450 0.7794
Te2 Te 0.2112 0.5000 0.2205
Pd1 Pd 0.0000 0.0000 0.0000
Pd2 Pd 0.0000 0.5000 0.0000
Pd3 Pd 0.2500 0.2500 0.0000
```

Computed, not measured: HgTe2Pd after structural relaxation at the PBE level of DFT.

Calculated values
**Energy above the most stable polymorph in this dataset**: 112 kJ/mol of formula units

The structure in CIF format:
```
data_HgTe2Pd
_symmetry_space_group_name_H-M 'R -3 m'
_symmetry_Int_Tables_number 166
_symmetry_space_group_name_Hall '-R 3 2"'
_cell_length_a 3.2248
_cell_length_b 3.2248
_cell_length_c 36.5156
_cell_angle_alpha 90.00
_cell_angle_beta 90.00
_cell_angle_gamma 120.00
loop_
_atom_site_label
_atom_site_type_symbol
_atom_site_fract_x
_atom_site_fract_y
_atom_site_fract_z
Hg1 Hg 0.0000 0.0000 0.0000
Te1 Te 0.0000 0.0000 0.4293
Pd1 Pd 0.0000 0.0000 0.5000
```

Computed, not measured: Hg2TePd8 after structural relaxation at the PBE level of DFT.

Calculated values
**Energy above the most stable polymorph in this dataset**: 0 kJ/mol of formula units

The structure in CIF format:
```
data_Hg2TePd8
_symmetry_space_group_name_H-M 'C 1 2/m 1'
_symmetry_Int_Tables_number 12
_cell_length_a 15.2441
_cell_length_b 4.7081
_cell_length_c 5.8731
_cell_angle_alpha 90.00
_cell_angle_beta 112.57
_cell_angle_gamma 90.00
loop_
_symmetry_equiv_pos_as_xyz
'x,y,z'
'-x,-y,-z'
'-x,y,-z'
'x,-y,z'
'x+1/2,y+1/2,z'
'-x+1/2,-y+1/2,-z'
'-x+1/2,y+1/2,-z'
'x+1/2,-y+1/2,z'
loop_
_atom_site_label
_atom_site_type_symbol
_atom_site_fract_x
_atom_site_fract_y
_atom_site_fract_z
Hg1 Hg 0.1761 0.0000 0.1761
Te1 Te 0.0000 0.5000 0.5000
Pd1 Pd 0.9999 0.0000 0.2511
Pd2 Pd 0.1494 0.5000 0.9039
Pd3 Pd 0.1497 0.5000 0.3954
Pd4 Pd 0.1789 0.0000 0.6789
```

Computed, not measured: Hg2TePd5 after structural relaxation at the PBE level of DFT.

The structure in CIF format:
```
data_Hg2TePd5
_symmetry_space_group_name_H-M 'C 1 m 1'
_symmetry_Int_Tables_number 8
_cell_length_a 6.1419
_cell_length_b 9.6464
_cell_length_c 5.7178
_cell_angle_alpha 90.00
_cell_angle_beta 122.48
_cell_angle_gamma 90.00
loop_
_symmetry_equiv_pos_as_xyz
'x,y,z'
'x,-y,z'
'x+1/2,y+1/2,z'
'x+1/2,-y+1/2,z'
loop_
_atom_site_label
_atom_site_type_symbol
_atom_site_fract_x
_atom_site_fract_y
_atom_site_fract_z
Hg1 Hg 0.0000 0.2479 0.0000
Te1 Te 0.2225 0.0000 0.5037
Pd1 Pd 0.2208 0.5000 0.9555
Pd2 Pd 0.2809 0.0000 0.0596
Pd3 Pd 0.3028 0.5000 0.5109
Pd4 Pd 0.4973 0.2241 0.5005
```

Computed, not measured: Hg2TePd8 after structural relaxation at the PBE level of DFT.

Calculated values
**Energy above the most stable polymorph in this dataset**: 43 kJ/mol of formula units

The structure in CIF format:
```
data_Hg2TePd8
_symmetry_space_group_name_H-M 'P -1'
_symmetry_Int_Tables_number 2
_cell_length_a 4.8405
_cell_length_b 5.4736
_cell_length_c 7.6534
_cell_angle_alpha 102.57
_cell_angle_beta 92.78
_cell_angle_gamma 100.60
loop_
_symmetry_equiv_pos_as_xyz
'x,y,z'
'-x,-y,-z'
loop_
_atom_site_label
_atom_site_type_symbol
_atom_site_fract_x
_atom_site_fract_y
_atom_site_fract_z
Hg1 Hg 0.1602 0.1981 0.3415
Te1 Te 0.5000 0.5000 0.0000
Pd1 Pd 0.0436 0.7637 0.0297
Pd2 Pd 0.2353 0.4775 0.6978
Pd3 Pd 0.3152 0.7592 0.4357
Pd4 Pd 0.3988 0.0151 0.8153
```

Computed, not measured: HgTe2Pd2 after structural relaxation at the PBE level of DFT.

Calculated values
**Energy above the most stable polymorph in this dataset**: 79 kJ/mol of formula units

The structure in CIF format:
```
data_HgTe2Pd2
_symmetry_space_group_name_H-M 'P 4/m b m'
_symmetry_Int_Tables_number 127
_symmetry_space_group_name_Hall '-P 4 2ab'
_cell_length_a 7.4974
_cell_length_b 7.4974
_cell_length_c 3.8578
_cell_angle_alpha 90.00
_cell_angle_beta 90.00
_cell_angle_gamma 90.00
loop_
_atom_site_label
_atom_site_type_symbol
_atom_site_fract_x
_atom_site_fract_y
_atom_site_fract_z
Hg1 Hg 0.0000 0.0000 0.0000
Te1 Te 0.1634 0.3366 0.5000
Pd1 Pd 0.1334 0.6334 0.0000
```

Computed, not measured: HgTePd3 after structural relaxation at the PBE level of DFT.

Calculated values
**Energy above the most stable polymorph in this dataset**: 49 kJ/mol of formula units

The structure in CIF format:
```
data_HgTePd3
_symmetry_space_group_name_H-M 'C m m m'
_symmetry_Int_Tables_number 65
_symmetry_space_group_name_Hall '-C 2 2'
_cell_length_a 7.6787
_cell_length_b 15.9924
_cell_length_c 3.2486
_cell_angle_alpha 90.00
_cell_angle_beta 90.00
_cell_angle_gamma 90.00
loop_
_atom_site_label
_atom_site_type_symbol
_atom_site_fract_x
_atom_site_fract_y
_atom_site_fract_z
Hg1 Hg 0.0000 0.0000 0.0000
Hg2 Hg 0.0000 0.5000 0.5000
Te1 Te 0.2500 0.2500 0.0000
Pd1 Pd 0.0000 0.3601 0.0000
Pd2 Pd 0.1893 0.1133 0.5000
```

Computed, not measured: HgTePd after structural relaxation at the PBE level of DFT.

Calculated values
**Energy above the most stable polymorph in this dataset**: 0 kJ/mol of formula units

The structure in CIF format:
```
data_HgTePd
_symmetry_space_group_name_H-M 'C 1 2/m 1'
_symmetry_Int_Tables_number 12
_cell_length_a 11.9877
_cell_length_b 4.1119
_cell_length_c 6.5646
_cell_angle_alpha 90.00
_cell_angle_beta 97.89
_cell_angle_gamma 90.00
loop_
_symmetry_equiv_pos_as_xyz
'x,y,z'
'-x,-y,-z'
'-x,y,-z'
'x,-y,z'
'x+1/2,y+1/2,z'
'-x+1/2,-y+1/2,-z'
'-x+1/2,y+1/2,-z'
'x+1/2,-y+1/2,z'
loop_
_atom_site_label
_atom_site_type_symbol
_atom_site_fract_x
_atom_site_fract_y
_atom_site_fract_z
Hg1 Hg 0.1413 0.0000 0.1778
Te1 Te 0.1151 0.5000 0.6890
Pd1 Pd 0.0000 0.0000 0.5000
Pd2 Pd 0.0000 0.5000 0.0000
```

Computed, not measured: HgTe2Pd after structural relaxation at the PBE level of DFT.

Calculated values
**Energy above the most stable polymorph in this dataset**: 27 kJ/mol of formula units

The structure in CIF format:
```
data_HgTe2Pd
_symmetry_space_group_name_H-M 'I -4 2 d'
_symmetry_Int_Tables_number 122
_symmetry_space_group_name_Hall 'I -4 2bw'
_cell_length_a 6.4057
_cell_length_b 6.4057
_cell_length_c 12.4752
_cell_angle_alpha 90.00
_cell_angle_beta 90.00
_cell_angle_gamma 90.00
loop_
_atom_site_label
_atom_site_type_symbol
_atom_site_fract_x
_atom_site_fract_y
_atom_site_fract_z
Hg1 Hg 0.0000 0.0000 0.0000
Te1 Te 0.2104 0.2500 0.6250
Pd1 Pd 0.0000 0.0000 0.5000
```

Computed, not measured: Hg2TePd after structural relaxation at the PBE level of DFT.

Calculated values
**Energy above the most stable polymorph in this dataset**: 0 kJ/mol of formula units

The structure in CIF format:
```
data_Hg2TePd
_symmetry_space_group_name_H-M 'F m -3 m'
_symmetry_Int_Tables_number 225
_symmetry_space_group_name_Hall '-F 4 2 3'
_cell_length_a 7.1474
_cell_length_b 7.1474
_cell_length_c 7.1474
_cell_angle_alpha 90.00
_cell_angle_beta 90.00
_cell_angle_gamma 90.00
loop_
_atom_site_label
_atom_site_type_symbol
_atom_site_fract_x
_atom_site_fract_y
_atom_site_fract_z
Hg1 Hg 0.2500 0.2500 0.2500
Te1 Te 0.0000 0.0000 0.0000
Pd1 Pd 0.0000 0.0000 0.5000
```

Computed, not measured: Hg2Te4Pd3 after structural relaxation at the PBE level of DFT.

The structure in CIF format:
```
data_Hg2Te4Pd3
_symmetry_space_group_name_H-M 'F m m m'
_symmetry_Int_Tables_number 69
_symmetry_space_group_name_Hall '-F 2 2'
_cell_length_a 6.0305
_cell_length_b 10.4610
_cell_length_c 18.1874
_cell_angle_alpha 90.00
_cell_angle_beta 90.00
_cell_angle_gamma 90.00
loop_
_atom_site_label
_atom_site_type_symbol
_atom_site_fract_x
_atom_site_fract_y
_atom_site_fract_z
Hg1 Hg 0.0000 0.0000 0.1979
Te1 Te 0.0000 0.1673 0.3903
Pd1 Pd 0.0000 0.0000 0.5000
Pd2 Pd 0.2500 0.2500 0.0000
```

no.,formation energy (no corrections) (eV/f.u.)
1,-2.434
2,-0.321
3,1.538
4,-0.167
5,-1.387
6,-0.321
7,-0.813
8,-0.804
9,1.200
10,-1.655
11,0.359
12,-1.762
13,-1.230
14,-1.318
15,-0.433
16,-0.603
17,-0.672
18,-0.520
19,0.890
20,-1.415